No. 1
Here is ZnOs2W after structural relaxation from Alexandria via LeMat-Bulk. Energies are from PBE.

```
data_ZnOs2W
_chemical_formula_sum 'Zn1 Os2 W1'
_symmetry_space_group_name_H-M 'P 4/m m m'
_symmetry_Int_Tables_number 123
_symmetry_space_group_name_Hall '-P 4 2'
_cell_length_a 3.117
_cell_length_b 3.117
_cell_length_c 6.055
_cell_angle_alpha 90.00
_cell_angle_beta 90.00
_cell_angle_gamma 90.00
loop_
_atom_site_label
_atom_site_type_symbol
_atom_site_fract_x
_atom_site_fract_y
_atom_site_fract_z
_atom_site_occupancy
Zn1 Zn 0.000 0.000 0.000 1
Os1 Os 0.500 0.500 0.249 1
W1 W 0.000 0.000 0.500 1
```

DFT total energy: -9.066 eV/atom
Crystal system: tetragonal
Theoretical density: 17.771 Mg/m³
Volume: 59 Å³ per cell
Total moment: 0.0 μB/f.u.



No. 2
Here is PrEr2Be after structural relaxation from Alexandria via LeMat-Bulk. Energies are from PBE.

```
data_PrEr2Be
_chemical_formula_sum 'Pr3 Er6 Be3'
_symmetry_space_group_name_H-M 'R -3 m'
_symmetry_Int_Tables_number 166
_symmetry_space_group_name_Hall '-R 3 2"'
_cell_length_a 3.4643
_cell_length_b 3.4643
_cell_length_c 32.4972
_cell_angle_alpha 90.00
_cell_angle_beta 90.00
_cell_angle_gamma 120.00
loop_
_atom_site_label
_atom_site_type_symbol
_atom_site_fract_x
_atom_site_fract_y
_atom_site_fract_z
_atom_site_occupancy
Pr1 Pr 0.0000 0.0000 0.0000 1
Er1 Er 0.0000 0.0000 0.1078 1
Be1 Be 0.0000 0.0000 0.5000 1
```

DFT total energy: -4.079 eV/atom
Crystal system: trigonal
Theoretical density: 7.145 Mg/m³
Volume: 338 Å³ per cell
Total moment: 0.0 μB/f.u.



No. 3
Here is La2MnAs3Pt4 after structural relaxation from Alexandria via LeMat-Bulk. Energies are from PBE.

```
data_La2MnAs3Pt4
_chemical_formula_sum 'La2 Mn1 As3 Pt4'
_symmetry_space_group_name_H-M 'P -4 m 2'
_symmetry_Int_Tables_number 115
_symmetry_space_group_name_Hall 'P -4 -2'
_cell_length_a 4.366
_cell_length_b 4.366
_cell_length_c 10.432
_cell_angle_alpha 90.00
_cell_angle_beta 90.00
_cell_angle_gamma 90.00
loop_
_atom_site_label
_atom_site_type_symbol
_atom_site_fract_x
_atom_site_fract_y
_atom_site_fract_z
_atom_site_occupancy
La1 La 0.000 0.500 0.243 1
Mn1 Mn 0.000 0.000 0.500 1
As1 As 0.000 0.500 0.867 1
As2 As 0.500 0.500 0.500 1
Pt1 Pt 0.000 0.000 0.000 1
Pt2 Pt 0.000 0.500 0.630 1
Pt3 Pt 0.500 0.500 0.000 1
```

DFT total energy: -6.574 eV/atom
Crystal system: tetragonal
Theoretical density: 11.170 Mg/m³
Volume: 199 Å³ per cell
Total moment: 4.0 μB/f.u.



No. 4
Here is ScSbSe after structural relaxation from Alexandria via LeMat-Bulk. Energies are from PBE.

```
data_ScSbSe
_chemical_formula_sum 'Sc4 Sb4 Se4'
_symmetry_space_group_name_H-M 'C m c m'
_symmetry_Int_Tables_number 63
_symmetry_space_group_name_Hall '-C 2c 2'
_cell_length_a 3.778
_cell_length_b 19.923
_cell_length_c 4.031
_cell_angle_alpha 90.00
_cell_angle_beta 90.00
_cell_angle_gamma 90.00
loop_
_atom_site_label
_atom_site_type_symbol
_atom_site_fract_x
_atom_site_fract_y
_atom_site_fract_z
_atom_site_occupancy
Sc1 Sc 0.000 0.167 0.250 1
Sb1 Sb 0.000 0.451 0.750 1
Se1 Se 0.000 0.309 0.250 1
```

DFT total energy: -5.658 eV/atom
Crystal system: orthorhombic
Theoretical density: 5.378 Mg/m³
Volume: 303 Å³ per cell
Total moment: 0.0 μB/f.u.